No. 1
Crystalline TaBPt at its relaxed geometry, computed with PBE.

Calculated values
Uncorrected energy ... -8.584 eV/atom
Crystal system ... trigonal

Lattice parameters (Å, degrees): 2.9463 2.9463 32.3975 90.00 90.00 120.00
Space group R-3m (No. 166, hexagonal axes)
Symmetry-distinct sites (fractional):
Ta (0.0000, 0.0000, 0.1052) (multiplicity 6)
B (0.0000, 0.0000, 0.1755) (multiplicity 6)
Pt (0.0000, 0.0000, 0.3703) (multiplicity 6)

No. 2
Crystalline TaBPt3 at its relaxed geometry, computed with PBE.

Calculated values
Distance to the lowest polymorph of the same formula ... 1720 meV/atom
Uncorrected energy ... -5.575 eV/atom
Crystal system ... cubic

Lattice parameters (Å, degrees): 4.8990 4.8990 4.8990 90.00 90.00 90.00
Space group Pm-3m (No. 221)
Symmetry-distinct sites (fractional):
Ta (0.0000, 0.0000, 0.0000) (multiplicity 1)
B (0.5000, 0.5000, 0.5000) (multiplicity 1)
Pt (0.0000, 0.0000, 0.5000) (multiplicity 3)

No. 3
Crystalline Ta2B2Pt at its relaxed geometry, computed with PBE.

Calculated values
Uncorrected energy ... -9.235 eV/atom
Crystal system ... tetragonal

Lattice parameters (Å, degrees): 5.8953 5.8953 3.5389 90.00 90.00 90.00
Space group P4/mbm (No. 127)
Symmetry-distinct sites (fractional):
Ta (0.1742, 0.3258, 0.0000) (multiplicity 4)
B (0.1086, 0.6086, 0.5000) (multiplicity 4)
Pt (0.0000, 0.0000, 0.5000) (multiplicity 2)

no.,DFT formation energy (meV per atom),Fermi-level density of states (states/eV per cell)
1,-393.9,10.671
2,1755.7,3.861
3,-615.2,6.963